First-principles (PBE-GGA) data for a geometry-optimized NaNbF6 structure, as listed in the Alexandria database.

Summary:
Its crystal system is monoclinic. The energy relative to the elements, uncorrected comes out at -3.03 eV/atom. Its calculated volume is 16.177 Å³/atom. As for the density of states at the Fermi level: 0.00 states/eV per cell. The calculation puts the raw total energy at -5.8562 eV/atom.

```
data_NaNbF6
_chemical_formula_sum 'Na2 Nb2 F12'
_cell_length_a 5.5325
_cell_length_b 8.8600
_cell_length_c 5.3813
_cell_angle_alpha 90.00
_cell_angle_beta 101.12
_cell_angle_gamma 90.00
_space_group_name_H-M_alt 'C 1 2/m 1'
_space_group_IT_number 12
_space_group_name_Hall '-C 2y'
loop_
_atom_site_label
_atom_site_fract_x
_atom_site_fract_y
_atom_site_fract_z
Na1 0.0000 0.0000 0.0000
Nb1 0.0000 0.5000 0.5000
F1 0.1926 0.3507 0.7163
F2 0.2420 0.5000 0.2819
```


First-principles (PBE-GGA) data for a geometry-optimized ReSbSe structure, as listed in the Alexandria database.

Summary:
Its crystal system is monoclinic. The energy relative to the elements, uncorrected comes out at 0.23 eV/atom. Its calculated volume is 22.967 Å³/atom. As for the density of states at the Fermi level: 13.33 states/eV per cell. The energy above the most stable polymorph in this dataset comes out at 116 meV per atom. The calculation puts the raw total energy at -6.4535 eV/atom.

```
data_ReSbSe
_chemical_formula_sum 'Re12 Sb12 Se12'
_cell_length_a 15.7330
_cell_length_b 6.3575
_cell_length_c 9.8302
_cell_angle_alpha 90.00
_cell_angle_beta 122.76
_cell_angle_gamma 90.00
_space_group_name_H-M_alt 'C 1 c 1'
_space_group_IT_number 9
_space_group_name_Hall 'C -2yc'
loop_
_atom_site_label
_atom_site_fract_x
_atom_site_fract_y
_atom_site_fract_z
Re1 0.0000 0.0075 0.0000
Re2 0.1453 0.2722 0.5502
Re3 0.3054 0.4844 0.6853
Sb1 0.1312 0.2988 0.0123
Sb2 0.3008 0.0950 0.5482
Sb3 0.4989 0.3084 0.7463
Se1 0.0535 0.3155 0.6807
Se2 0.3343 0.3673 0.9546
Se3 0.3780 0.1797 0.3379
```


First-principles (PBE-GGA) data for a geometry-optimized K4MnBi3Se8 structure, as listed in the Alexandria database.

Summary:
Its crystal system is trigonal. The energy relative to the elements, uncorrected comes out at -0.76 eV/atom. Its calculated volume is 29.853 Å³/atom. As for the density of states at the Fermi level: 9.39 states/eV per cell. The calculation puts the raw total energy at -4.0762 eV/atom.

```
data_K4MnBi3Se8
_chemical_formula_sum 'K12 Mn3 Bi9 Se24'
_cell_length_a 8.4619
_cell_length_b 8.4619
_cell_length_c 23.1073
_cell_angle_alpha 90.00
_cell_angle_beta 90.00
_cell_angle_gamma 120.00
_space_group_name_H-M_alt 'R -3 m'
_space_group_IT_number 166
_space_group_name_Hall '-R 3 2"'
loop_
_atom_site_label
_atom_site_fract_x
_atom_site_fract_y
_atom_site_fract_z
K1 0.0000 0.0000 0.0000
K2 0.0000 0.5000 0.0000
Mn1 0.0000 0.0000 0.5000
Bi1 0.0000 0.5000 0.5000
Se1 0.0000 0.0000 0.2391
Se2 0.0288 0.5144 0.2325
```


First-principles (PBE-GGA) data for a geometry-optimized TaTl2 structure, as listed in the Alexandria database.

Summary:
Its crystal system is trigonal. As for the formation energy: 0.594 eV/atom. Its calculated volume is 23.163 Å³/atom. As for the density of states at the Fermi level: 2.42 states/eV per cell. The energy above the most stable polymorph in this dataset comes out at 125 meV per atom. The calculation puts the raw total energy at -4.9345 eV/atom.

```
data_TaTl2
_chemical_formula_sum 'Ta1 Tl2'
_cell_length_a 3.2085
_cell_length_b 3.2085
_cell_length_c 7.7943
_cell_angle_alpha 90.00
_cell_angle_beta 90.00
_cell_angle_gamma 120.00
_space_group_name_H-M_alt 'P -3 m 1'
_space_group_IT_number 164
_space_group_name_Hall '-P 3 2"'
loop_
_atom_site_label
_atom_site_fract_x
_atom_site_fract_y
_atom_site_fract_z
Ta1 0.0000 0.0000 0.0000
Tl1 0.3333 0.6667 0.3183
```


First-principles (PBE-GGA) data for a geometry-optimized LaNi2Te structure, as listed in the Alexandria database.

Summary:
Its crystal system is trigonal. The energy relative to the elements, uncorrected comes out at -0.51 eV/atom. Its calculated volume is 19.867 Å³/atom. As for the density of states at the Fermi level: 9.65 states/eV per cell. The calculation puts the raw total energy at -5.4131 eV/atom.

```
data_LaNi2Te
_chemical_formula_sum 'La3 Ni6 Te3'
_cell_length_a 4.3195
_cell_length_b 4.3195
_cell_length_c 14.7528
_cell_angle_alpha 90.00
_cell_angle_beta 90.00
_cell_angle_gamma 120.00
_space_group_name_H-M_alt 'R -3 m'
_space_group_IT_number 166
_space_group_name_Hall '-R 3 2"'
loop_
_atom_site_label
_atom_site_fract_x
_atom_site_fract_y
_atom_site_fract_z
La1 0.0000 0.0000 0.0000
Ni1 0.0000 0.0000 0.2038
Te1 0.0000 0.0000 0.5000
```


First-principles (PBE-GGA) data for a geometry-optimized SmEr6Tm structure, as listed in the Alexandria database.

Summary:
Its crystal system is monoclinic. As for the formation energy: 0.377 eV/atom. Its calculated volume is 34.247 Å³/atom. As for the density of states at the Fermi level: 23.03 states/eV per cell. The energy above the most stable polymorph in this dataset comes out at 152 meV per atom. The calculation puts the raw total energy at -4.1945 eV/atom.

```
data_SmEr6Tm
_chemical_formula_sum 'Sm2 Er12 Tm2'
_cell_length_a 9.9487
_cell_length_b 6.6975
_cell_length_c 8.5064
_cell_angle_alpha 90.00
_cell_angle_beta 104.81
_cell_angle_gamma 90.00
_space_group_name_H-M_alt 'C 1 2/m 1'
_space_group_IT_number 12
_space_group_name_Hall '-C 2y'
loop_
_atom_site_label
_atom_site_fract_x
_atom_site_fract_y
_atom_site_fract_z
Sm1 0.0000 0.0000 0.0000
Er1 0.1277 0.5000 0.9269
Er2 0.1968 0.2589 0.3007
Tm1 0.0000 0.0000 0.5000
```


First-principles (PBE-GGA) data for a geometry-optimized LiAl structure, as listed in the Alexandria database.

Summary:
Its crystal system is cubic. As for the formation energy: 0.364 eV/atom. Its calculated volume is 19.186 Å³/atom. As for the density of states at the Fermi level: 4.15 states/eV per cell. The calculation puts the raw total energy at -2.4637 eV/atom.

```
data_LiAl
_chemical_formula_sum 'Li4 Al4'
_cell_length_a 5.3542
_cell_length_b 5.3542
_cell_length_c 5.3542
_cell_angle_alpha 90.00
_cell_angle_beta 90.00
_cell_angle_gamma 90.00
_space_group_name_H-M_alt 'F m -3 m'
_space_group_IT_number 225
_space_group_name_Hall '-F 4 2 3'
loop_
_atom_site_label
_atom_site_fract_x
_atom_site_fract_y
_atom_site_fract_z
Li1 0.0000 0.0000 0.0000
Al1 0.0000 0.0000 0.5000
```


First-principles (PBE-GGA) data for a geometry-optimized Ho3Zn2Pd6 structure, as listed in the Alexandria database.

Summary:
Its crystal system is cubic. As for the formation energy: -0.783 eV/atom. Its calculated volume is 19.315 Å³/atom. As for the density of states at the Fermi level: 18.22 states/eV per cell. The energy above the most stable polymorph in this dataset comes out at 0 meV per atom. The calculation puts the raw total energy at -5.0953 eV/atom.

```
data_Ho3Zn2Pd6
_chemical_formula_sum 'Ho12 Zn8 Pd24'
_cell_length_a 9.4722
_cell_length_b 9.4722
_cell_length_c 9.4722
_cell_angle_alpha 90.00
_cell_angle_beta 90.00
_cell_angle_gamma 90.00
_space_group_name_H-M_alt 'I m -3 m'
_space_group_IT_number 229
_space_group_name_Hall '-I 4 2 3'
loop_
_atom_site_label
_atom_site_fract_x
_atom_site_fract_y
_atom_site_fract_z
Ho1 0.0000 0.0000 0.3013
Zn1 0.2500 0.2500 0.2500
Pd1 0.0000 0.3345 0.3345
```